Entry 1:
GdYMgIr (PBE-GGA, relaxed); N(E_F) = 2.62 states/eV/f.u.; energy relative to the elements = -1.7 eV per formula unit; SG = No. 216; energy = -8.1808 eV per atom
1.0
5.054 0.000 0.000
2.527 4.377 0.000
2.527 1.459 4.127
Gd Y Mg Ir
1 1 1 1
Direct
0.750 0.750 0.750
0.250 0.250 0.250
0.000 0.000 0.000
0.500 0.500 0.500

***

Entry 2:
AcPr3Pu2Se6 (PBE-GGA, relaxed); N(E_F) = 21.78 states/eV/f.u.; SG = No. 12; energy = -7.4118 eV per atom; ΔE_f (raw) = -20.92 eV/f.u.
1.0
7.374 -0.001 -0.001
-3.686 6.386 -0.001
-1.231 -2.131 6.997
Ac Pr Pu Se
1 3 2 6
Direct
0.000 0.000 0.000
0.162 0.838 0.500
0.838 0.162 0.500
0.500 0.500 0.500
0.332 0.668 0.000
0.668 0.332 0.000
0.917 0.571 0.751
0.735 0.735 0.244
0.083 0.429 0.249
0.571 0.917 0.751
0.265 0.265 0.756
0.429 0.083 0.249

***

Entry 3:
MnPtC6N6 (PBE-GGA, relaxed); N(E_F) = 10.31 states/eV/f.u.; SG = No. 225; energy = -8.2999 eV per atom; ΔE_f (raw) = 4.31 eV/f.u.
1.0
0.000 5.117 5.117
5.117 0.000 5.117
5.117 5.117 0.000
Mn Pt C N
1 1 6 6
Direct
0.500 0.500 0.500
0.000 0.000 0.000
0.197 0.803 0.197
0.803 0.197 0.803
0.197 0.197 0.803
0.803 0.803 0.197
0.803 0.197 0.197
0.197 0.803 0.803
0.311 0.689 0.311
0.689 0.311 0.689
0.311 0.311 0.689
0.689 0.689 0.311
0.689 0.311 0.311
0.311 0.689 0.689

***

Entry 4:
Si3B3W10 (PBE-GGA, relaxed); N(E_F) = 8.58 states/eV/f.u.; SG = No. 42; energy = -10.5587 eV per atom; ΔE_f (raw) = -3.11 eV/f.u.
1.0
7.114 0.002 -0.003
4.370 5.551 -0.001
2.744 1.229 5.411
Si B W
3 3 10
Direct
0.630 0.370 0.630
0.245 0.255 0.245
0.745 0.755 0.745
0.877 0.123 0.127
0.127 0.873 0.877
0.368 0.632 0.368
0.522 0.193 0.466
0.180 0.534 0.807
0.018 0.699 0.301
0.707 0.001 0.999
0.466 0.820 0.522
0.807 0.478 0.180
0.999 0.293 0.707
0.301 0.982 0.018
0.496 0.504 0.010
0.010 0.990 0.496

***

Entry 5:
ScMn2Al (PBE-GGA, relaxed); N(E_F) = 3.66 states/eV/f.u.; energy relative to the elements = -0.4 eV per formula unit; SG = No. 44; energy = -7.1995 eV per atom
1.0
-1.730 -2.087 -4.415
1.224 -2.311 -4.473
-0.328 -4.331 0.039
Sc Mn Al
1 2 1
Direct
0.510 0.510 0.490
0.984 0.984 0.016
0.277 0.277 0.223
0.729 0.729 0.771

***

Entry 6:
MgSi2Ag (PBE-GGA, relaxed); N(E_F) = 1.80 states/eV/f.u.; SG = No. 47; energy = -3.6642 eV per atom; ΔE_f (raw) = 0.64 eV/f.u.
1.0
-3.232 -0.433 2.861
-1.840 -0.776 -2.196
1.314 -5.125 0.709
Ag Mg Si
1 1 2
Direct
0.500 0.250 0.250
0.500 0.750 0.750
0.000 0.250 0.979
0.000 0.250 0.521

***

Entry 7:
K2BaBr2 (PBE-GGA, relaxed); N(E_F) = 3.35 states/eV/f.u.; excess energy over the best structure of this formula in the dataset = 265 meV/atom; SG = No. 127; energy = -2.4309 eV per atom; ΔE_f (raw) = -4.69 eV/f.u.
1.0
-4.983 -8.246 3.394
7.090 -1.305 7.237
-2.129 2.317 2.503
K Ba Br
4 2 4
Direct
0.371 0.871 0.000
0.871 0.629 0.000
0.629 0.129 0.000
0.129 0.371 0.000
0.000 0.000 0.000
0.500 0.500 0.000
0.151 0.651 0.500
0.651 0.849 0.500
0.849 0.349 0.500
0.349 0.151 0.500

***

Entry 8:
Ba2ZnP2 (PBE-GGA, relaxed); energy relative to the elements = -4.4 eV per formula unit; SG = No. 72; energy = -4.0744 eV per atom
1.0
7.372 2.588 -2.226
5.660 -3.989 4.249
-6.407 -2.797 -4.139
Ba Zn P
4 2 4
Direct
0.860 0.053 0.193
0.140 0.947 0.807
0.640 0.333 0.693
0.360 0.667 0.307
0.250 0.500 0.750
0.750 0.500 0.250
0.606 0.804 0.198
0.394 0.196 0.802
0.106 0.407 0.302
0.894 0.593 0.698

***

Entry 9:
CdW3 (PBE-GGA, relaxed); N(E_F) = 1.31 states/eV/f.u.; excess energy over the best structure of this formula in the dataset = 221 meV/atom; energy relative to the elements = 2.1 eV per formula unit; SG = No. 223; energy = -9.4077 eV per atom
1.0
-3.400 2.298 3.062
2.414 -1.892 4.100
2.972 4.166 0.173
Cd W
2 6
Direct
0.000 0.000 0.000
0.500 0.500 0.500
0.000 0.250 0.500
0.000 0.750 0.500
0.250 0.500 0.000
0.500 0.000 0.250
0.500 0.000 0.750
0.750 0.500 0.000

***

Entry 10:
PtW2Br (PBE-GGA, relaxed); N(E_F) = 3.06 states/eV/f.u.; excess energy over the best structure of this formula in the dataset = 194 meV/atom; SG = No. 166; energy = -7.8057 eV per atom; ΔE_f (raw) = 2.40 eV/f.u.
1.0
9.051 -0.008 -0.005
8.579 2.886 -0.005
8.579 1.400 2.524
Br W Pt
1 2 1
Direct
0.250 0.250 0.250
0.000 0.000 0.000
0.500 0.500 0.500
0.750 0.750 0.750

***

Entry 11:
KCeSn2Cl8 (PBE-GGA, relaxed); N(E_F) = 8.73 states/eV/f.u.; SG = No. 2; energy = -4.0471 eV per atom; ΔE_f (raw) = -18.75 eV/f.u.
1.0
-6.547 1.285 -1.819
1.558 -0.118 -6.350
-1.414 -8.939 0.047
K Ce Sn Cl
1 1 2 8
Direct
0.000 0.000 0.500
0.000 0.000 0.000
0.511 0.503 0.746
0.489 0.497 0.254
0.142 0.747 0.223
0.680 0.746 0.963
0.813 0.213 0.223
0.858 0.253 0.777
0.320 0.254 0.037
0.187 0.787 0.777
0.645 0.716 0.538
0.355 0.284 0.462

***

Entry 12:
Tl2BiAu2 (PBE-GGA, relaxed); N(E_F) = 2.10 states/eV/f.u.; excess energy over the best structure of this formula in the dataset = 14 meV/atom; energy relative to the elements = -0.1 eV per formula unit; SG = No. 12; energy = -3.0552 eV per atom
1.0
4.575 0.000 0.000
2.287 6.615 -0.193
2.287 0.673 8.859
Tl Bi Au
4 2 4
Direct
0.287 0.327 0.099
0.468 0.374 0.690
0.713 0.673 0.901
0.532 0.626 0.310
0.795 0.064 0.345
0.205 0.936 0.655
0.944 0.191 0.921
0.125 0.301 0.449
0.056 0.809 0.079
0.875 0.699 0.551